Tl4HgTeCl2 | PBE | optimized geometry

Calculated values
Crystal system: orthorhombic
E: -84.337 eV for the cell shown
Formation energy without anion corrections: -0.560 eV/atom

Unit cell a=9.918 b=12.880 c=8.683 alpha=90.00 beta=90.00 gamma=90.00
Space group Fmm2 (No. 42)
One atom of each set of equivalent atoms:
Tl: 0.000 0.247 0.000 (multiplicity 8)
Tl: 0.203 0.000 0.705 (multiplicity 8)
Hg: 0.000 0.000 0.395 (multiplicity 4)
Te: 0.000 0.000 0.016 (multiplicity 4)
Cl: 0.250 0.250 0.248 (multiplicity 8)